(1)
! PBE TaAsOs2Pt, relaxed; values from VASP
&SYSTEM
  ibrav = 0, nat = 5, ntyp = 4
/
ATOMIC_SPECIES
As 74.92 As.upf
Os 190.23 Os.upf
Pt 195.08 Pt.upf
Ta 180.95 Ta.upf
CELL_PARAMETERS angstrom
4.7796 0.0000 0.0000
0.0000 4.8115 0.0000
0.0000 0.0000 4.7796
ATOMIC_POSITIONS angstrom
As 2.3898 2.4058 2.3898
Os 0.0000 0.0000 2.3898
Os 2.3898 0.0000 0.0000
Pt 0.0000 0.0000 0.0000
Ta 0.0000 2.4058 0.0000
! **Symmetry**: P4/mmm (123)
! **Uncorrected energy**: -6.935 eV/atom
! **Calculated formation energy**: 2.066 eV per atom
! **Crystal system**: tetragonal
! **Magnetization**: 0.00 μB per formula unit



(2)
! PBE SiP, relaxed; values from VASP
&SYSTEM
  ibrav = 0, nat = 2, ntyp = 2
/
ATOMIC_SPECIES
P 30.97 P.upf
Si 28.09 Si.upf
CELL_PARAMETERS angstrom
2.6134 -0.0269 0.0000
-0.9198 2.4463 0.0000
0.0000 0.0000 4.5188
ATOMIC_POSITIONS angstrom
P 0.0000 0.0000 0.0000
Si 0.8468 1.2097 2.2594
! **Symmetry**: Cmmm (65)
! **Formation energy from raw total energies**: 0.56 eV/atom
! **Uncorrected energy**: -4.860 eV/atom
! **Crystal system**: orthorhombic
! **Magnetization**: 0.00 μB per formula unit



(3)
! PBE LiSiW3, relaxed; values from VASP
&SYSTEM
  ibrav = 0, nat = 5, ntyp = 3
/
ATOMIC_SPECIES
Si 28.09 Si.upf
W 183.84 W.upf
Li 6.94 Li.upf
CELL_PARAMETERS angstrom
-4.4866 -0.1405 0.6736
0.6406 -2.4747 3.7508
0.2511 3.8025 2.4660
ATOMIC_POSITIONS angstrom
Si 0.0000 0.0000 0.0000
W 0.3203 -1.2374 1.8754
W 0.1255 1.9013 1.2330
W -2.2433 -0.0703 0.3368
Li -1.7975 0.5936 3.4452
! **Symmetry**: Pm-3m (221)
! **Formation energy from raw total energies**: 1.46 eV/atom
! **Uncorrected energy**: -7.779 eV/atom
! **Polymorph energy (0 for the lowest one)**: 0.000 eV/atom
! **Crystal system**: cubic
! **Magnetization**: 0.00 μB per formula unit